No. 1
Below is a geometry-optimized Ta2CuRe structure, with properties calculated at the PBE level.

Cell and atoms, written as POSCAR:
```
Ta2CuRe
1.0
2.692 0.000 0.000
0.000 4.226 0.000
0.000 0.000 5.696
Ta Cu Re
2 1 1
direct
0.000 0.000 0.000
0.500 0.500 0.287
0.000 0.000 0.514
0.500 0.500 0.763
```

## Properties
The calculation puts the density of states at the Fermi level at 2.94 states/eV/cell. For the size of the total moment, the calculation gives 0.000 μB/cell. As for the space group: No. 25. For the energy above the most stable polymorph in this dataset, the calculation gives 297.4 meV per atom. Its formation energy is 202 meV per atom.

No. 2
Below is a geometry-optimized TaCuRe2 structure, with properties calculated at the PBE level.

Cell and atoms, written as POSCAR:
```
TaCuRe2
1.0
1.597 -2.198 0.000
1.597 2.198 0.000
0.000 0.000 8.695
Ta Cu Re
1 1 2
direct
0.000 0.000 0.000
0.500 0.500 0.750
0.000 0.000 0.507
0.500 0.500 0.259
```

## Properties
The calculation puts the density of states at the Fermi level at 3.14 states/eV/cell. For the size of the total moment, the calculation gives 0.000 μB/cell. As for the space group: No. 35. For the energy above the most stable polymorph in this dataset, the calculation gives 155.7 meV per atom. Its formation energy is 209 meV per atom.

No. 3
Below is a geometry-optimized TaCuRe2 structure, with properties calculated at the PBE level.

Cell and atoms, written as POSCAR:
```
TaCuRe2
1.0
0.000 3.118 3.118
3.118 0.000 3.118
3.118 3.118 0.000
Ta Cu Re
1 1 2
direct
0.000 0.000 0.000
0.500 0.500 0.500
0.250 0.250 0.250
0.750 0.750 0.750
```

## Properties
The calculation puts the density of states at the Fermi level at 5.09 states/eV/cell. For the size of the total moment, the calculation gives 0.000 μB/cell. As for the space group: No. 225. For the energy above the most stable polymorph in this dataset, the calculation gives 200.7 meV per atom. Its formation energy is 254 meV per atom.